Model a:
{
  "formula": "BiTeIr2",
  "functional": "PBE-GGA",
  "state": "relaxed",
  "lattice": [[5.9997, 0.0000, 0.0000], [0.0000, 5.9997, 0.0000], [0.0000, 0.0000, 12.1359]],
  "species": ["Bi", "Bi", "Bi", "Bi", "Te", "Te", "Te", "Te", "Ir", "Ir", "Ir", "Ir", "Ir", "Ir", "Ir", "Ir"],
  "fractional_positions": [[0.0000, 0.0000, 0.0000], [0.0000, 0.5000, 0.2500], [0.5000, 0.0000, 0.7500], [0.5000, 0.5000, 0.5000], [0.0000, 0.0000, 0.5000], [0.0000, 0.5000, 0.7500], [0.5000, 0.0000, 0.2500], [0.5000, 0.5000, 0.0000], [0.2293, 0.2500, 0.6250], [0.2500, 0.7293, 0.8750], [0.2500, 0.7707, 0.3750], [0.2707, 0.2500, 0.1250], [0.7293, 0.7500, 0.1250], [0.7500, 0.2293, 0.3750], [0.7500, 0.2707, 0.8750], [0.7707, 0.7500, 0.6250]],
  "dos_ef_per_ev_cell": 12.346,
  "spacegroup": "I-42d, No. 122"
}

=====

Model b:
{
  "formula": "BiTeIr2",
  "functional": "PBE-GGA",
  "state": "relaxed",
  "lattice": [[6.8258, 0.0000, 0.0000], [0.0000, 6.8258, 0.0000], [0.0000, 0.0000, 6.8258]],
  "species": ["Bi", "Bi", "Bi", "Bi", "Te", "Te", "Te", "Te", "Ir", "Ir", "Ir", "Ir", "Ir", "Ir", "Ir", "Ir"],
  "fractional_positions": [[0.0000, 0.0000, 0.0000], [0.0000, 0.5000, 0.5000], [0.5000, 0.0000, 0.5000], [0.5000, 0.5000, 0.0000], [0.0000, 0.0000, 0.5000], [0.0000, 0.5000, 0.0000], [0.5000, 0.0000, 0.0000], [0.5000, 0.5000, 0.5000], [0.2500, 0.2500, 0.2500], [0.2500, 0.2500, 0.7500], [0.2500, 0.7500, 0.2500], [0.2500, 0.7500, 0.7500], [0.7500, 0.2500, 0.2500], [0.7500, 0.2500, 0.7500], [0.7500, 0.7500, 0.2500], [0.7500, 0.7500, 0.7500]],
  "dos_ef_per_ev_cell": 15.140,
  "spacegroup": "Fm-3m, No. 225"
}

=====

If we sort the structures by their calculated energies, the order from most to least stable is model a, model b.

=====

Model a:
{
  "formula": "BiTe3Ir",
  "functional": "PBE-GGA",
  "state": "relaxed",
  "lattice": [[5.9983, 0.0000, 0.0000], [2.4343, 6.2744, 0.0000], [0.4760, 2.5113, 7.6503]],
  "species": ["Bi", "Bi", "Te", "Te", "Te", "Te", "Te", "Te", "Ir", "Ir"],
  "fractional_positions": [[0.2030, 0.1962, 0.4987], [0.7970, 0.8038, 0.5013], [0.1141, 0.3658, 0.8547], [0.2859, 0.8374, 0.3038], [0.3530, 0.7855, 0.8235], [0.6470, 0.2145, 0.1765], [0.7141, 0.1626, 0.6962], [0.8859, 0.6342, 0.1453], [0.0000, 0.0000, 0.0000], [0.5000, 0.0000, 0.0000]],
  "dos_ef_per_ev_cell": 4.779,
  "spacegroup": "P-1, No. 2"
}

=====

Model b:
{
  "formula": "BiTe3Ir",
  "functional": "PBE-GGA",
  "state": "relaxed",
  "lattice": [[5.8118, 0.0000, 0.0000], [0.0000, 5.8118, 0.0000], [0.0000, 0.0000, 5.8118]],
  "species": ["Bi", "Te", "Te", "Te", "Ir"],
  "fractional_positions": [[0.0000, 0.0000, 0.0000], [0.0000, 0.0000, 0.5000], [0.0000, 0.5000, 0.0000], [0.5000, 0.0000, 0.0000], [0.5000, 0.5000, 0.5000]],
  "dos_ef_per_ev_cell": 8.523,
  "spacegroup": "Pm-3m, No. 221"
}

=====

Model c:
{
  "formula": "BiTe3Ir",
  "functional": "PBE-GGA",
  "state": "relaxed",
  "lattice": [[5.2693, 0.0000, 0.0000], [0.0000, 5.2693, 0.0000], [0.0000, 0.0000, 5.2693]],
  "species": ["Bi", "Te", "Te", "Te", "Ir"],
  "fractional_positions": [[0.0000, 0.0000, 0.0000], [0.0000, 0.5000, 0.5000], [0.5000, 0.0000, 0.5000], [0.5000, 0.5000, 0.0000], [0.5000, 0.5000, 0.5000]],
  "dos_ef_per_ev_cell": 6.633,
  "spacegroup": "Pm-3m, No. 221"
}

=====

If we sort the structures by their calculated energies, the order from most to least stable is model a, model c, model b.

=====

Model a:
{
  "formula": "BiTeIr3",
  "functional": "PBE-GGA",
  "state": "relaxed",
  "lattice": [[4.8927, 0.0000, 0.0000], [0.0000, 4.8927, 0.0000], [0.0000, 0.0000, 4.8927]],
  "species": ["Bi", "Te", "Ir", "Ir", "Ir"],
  "fractional_positions": [[0.0000, 0.0000, 0.0000], [0.5000, 0.5000, 0.5000], [0.0000, 0.5000, 0.5000], [0.5000, 0.0000, 0.5000], [0.5000, 0.5000, 0.0000]],
  "dos_ef_per_ev_cell": 9.373,
  "spacegroup": "Pm-3m, No. 221"
}

=====

Model b:
{
  "formula": "BiTeIr3",
  "functional": "PBE-GGA",
  "state": "relaxed",
  "lattice": [[4.9989, 0.0000, 0.0000], [0.0000, 4.9989, 0.0000], [0.0000, 0.0000, 4.9989]],
  "species": ["Bi", "Te", "Ir", "Ir", "Ir"],
  "fractional_positions": [[0.0000, 0.0000, 0.0000], [0.5000, 0.5000, 0.5000], [0.0000, 0.0000, 0.5000], [0.0000, 0.5000, 0.0000], [0.5000, 0.0000, 0.0000]],
  "dos_ef_per_ev_cell": 4.135,
  "spacegroup": "Pm-3m, No. 221"
}

=====

If we sort the structures by their calculated energies, the order from most to least stable is model a, model b.

=====

Model a:
{
  "formula": "TlBiIr2",
  "functional": "PBE-GGA",
  "state": "relaxed",
  "lattice": [[6.2235, 0.0000, 0.0000], [0.0000, 6.2235, 0.0000], [0.0000, 0.0000, 11.9049]],
  "species": ["Tl", "Tl", "Tl", "Tl", "Bi", "Bi", "Bi", "Bi", "Ir", "Ir", "Ir", "Ir", "Ir", "Ir", "Ir", "Ir"],
  "fractional_positions": [[0.0000, 0.0000, 0.0000], [0.0000, 0.5000, 0.2500], [0.5000, 0.0000, 0.7500], [0.5000, 0.5000, 0.5000], [0.0000, 0.0000, 0.5000], [0.0000, 0.5000, 0.7500], [0.5000, 0.0000, 0.2500], [0.5000, 0.5000, 0.0000], [0.2420, 0.2500, 0.6250], [0.2500, 0.7420, 0.8750], [0.2500, 0.7580, 0.3750], [0.2580, 0.2500, 0.1250], [0.7420, 0.7500, 0.1250], [0.7500, 0.2420, 0.3750], [0.7500, 0.2580, 0.8750], [0.7580, 0.7500, 0.6250]],
  "dos_ef_per_ev_cell": 11.519,
  "spacegroup": "I-42d, No. 122"
}

=====

Model b:
{
  "formula": "TlBiIr2",
  "functional": "PBE-GGA",
  "state": "relaxed",
  "lattice": [[6.7903, 0.0000, 0.0000], [0.0000, 6.7903, 0.0000], [0.0000, 0.0000, 6.7903]],
  "species": ["Tl", "Tl", "Tl", "Tl", "Bi", "Bi", "Bi", "Bi", "Ir", "Ir", "Ir", "Ir", "Ir", "Ir", "Ir", "Ir"],
  "fractional_positions": [[0.0000, 0.0000, 0.0000], [0.0000, 0.5000, 0.5000], [0.5000, 0.0000, 0.5000], [0.5000, 0.5000, 0.0000], [0.0000, 0.0000, 0.5000], [0.0000, 0.5000, 0.0000], [0.5000, 0.0000, 0.0000], [0.5000, 0.5000, 0.5000], [0.2500, 0.2500, 0.2500], [0.2500, 0.2500, 0.7500], [0.2500, 0.7500, 0.2500], [0.2500, 0.7500, 0.7500], [0.7500, 0.2500, 0.2500], [0.7500, 0.2500, 0.7500], [0.7500, 0.7500, 0.2500], [0.7500, 0.7500, 0.7500]],
  "dos_ef_per_ev_cell": 18.091,
  "spacegroup": "Fm-3m, No. 225"
}

=====

If we sort the structures by their calculated energies, the order from most to least stable is model b, model a.

=====

Model a:
{
  "formula": "TlBi3Ir",
  "functional": "PBE-GGA",
  "state": "relaxed",
  "lattice": [[9.5428, 0.0000, 0.0000], [0.0000, 6.4665, 0.0000], [-1.5485, 0.0000, 9.6262]],
  "species": ["Tl", "Tl", "Tl", "Tl", "Bi", "Bi", "Bi", "Bi", "Bi", "Bi", "Bi", "Bi", "Bi", "Bi", "Bi", "Bi", "Ir", "Ir", "Ir", "Ir"],
  "fractional_positions": [[0.0886, 0.0120, 0.2005], [0.0886, 0.4880, 0.7005], [0.9114, 0.5120, 0.2995], [0.9114, 0.9880, 0.7995], [0.1989, 0.5658, 0.0744], [0.1989, 0.9342, 0.5744], [0.2713, 0.1020, 0.9108], [0.2713, 0.3980, 0.4108], [0.4612, 0.5721, 0.8286], [0.4612, 0.9279, 0.3286], [0.5388, 0.0721, 0.6714], [0.5388, 0.4279, 0.1714], [0.7287, 0.6020, 0.5892], [0.7287, 0.8980, 0.0892], [0.8011, 0.0658, 0.4256], [0.8011, 0.4342, 0.9256], [0.4426, 0.6856, 0.5571], [0.4426, 0.8144, 0.0571], [0.5574, 0.1856, 0.9429], [0.5574, 0.3144, 0.4429]],
  "dos_ef_per_ev_cell": 9.617,
  "spacegroup": "P2_1/c, No. 14"
}

=====

Model b:
{
  "formula": "TlBi3Ir",
  "functional": "PBE-GGA",
  "state": "relaxed",
  "lattice": [[5.4690, 0.0000, 0.0000], [0.0000, 5.4690, 0.0000], [0.0000, 0.0000, 5.4690]],
  "species": ["Tl", "Bi", "Bi", "Bi", "Ir"],
  "fractional_positions": [[0.0000, 0.0000, 0.0000], [0.0000, 0.5000, 0.5000], [0.5000, 0.0000, 0.5000], [0.5000, 0.5000, 0.0000], [0.5000, 0.5000, 0.5000]],
  "dos_ef_per_ev_cell": 6.807,
  "spacegroup": "Pm-3m, No. 221"
}

=====

If we sort the structures by their calculated energies, the order from most to least stable is model a, model b.

=====

Model a:
{
  "formula": "TlBiIr3",
  "functional": "PBE-GGA",
  "state": "relaxed",
  "lattice": [[4.9858, 0.0000, 0.0000], [0.0000, 4.9858, 0.0000], [0.0000, 0.0000, 4.9858]],
  "species": ["Tl", "Bi", "Ir", "Ir", "Ir"],
  "fractional_positions": [[0.0000, 0.0000, 0.0000], [0.5000, 0.5000, 0.5000], [0.0000, 0.0000, 0.5000], [0.0000, 0.5000, 0.0000], [0.5000, 0.0000, 0.0000]],
  "dos_ef_per_ev_cell": 5.438,
  "spacegroup": "Pm-3m, No. 221"
}

=====

Model b:
{
  "formula": "TlBiIr3",
  "functional": "PBE-GGA",
  "state": "relaxed",
  "lattice": [[5.0625, 0.0000, 0.0000], [0.0000, 5.0625, 0.0000], [0.0000, 0.0000, 5.0625]],
  "species": ["Tl", "Bi", "Ir", "Ir", "Ir"],
  "fractional_positions": [[0.0000, 0.0000, 0.0000], [0.5000, 0.5000, 0.5000], [0.0000, 0.5000, 0.5000], [0.5000, 0.0000, 0.5000], [0.5000, 0.5000, 0.0000]],
  "dos_ef_per_ev_cell": 7.611,
  "spacegroup": "Pm-3m, No. 221"
}

=====

If we sort the structures by their calculated energies, the order from most to least stable is model b, model a.

=====

Model a:
{
  "formula": "TlBi2Ir",
  "functional": "PBE-GGA",
  "state": "relaxed",
  "lattice": [[6.8689, 0.0000, 0.0000], [0.0000, 6.8689, 0.0000], [0.0000, 0.0000, 12.4352]],
  "species": ["Tl", "Tl", "Tl", "Tl", "Bi", "Bi", "Bi", "Bi", "Bi", "Bi", "Bi", "Bi", "Ir", "Ir", "Ir", "Ir"],
  "fractional_positions": [[0.0000, 0.0000, 0.0000], [0.0000, 0.5000, 0.2500], [0.5000, 0.0000, 0.7500], [0.5000, 0.5000, 0.5000], [0.1816, 0.2500, 0.6250], [0.2500, 0.6816, 0.8750], [0.2500, 0.8184, 0.3750], [0.3184, 0.2500, 0.1250], [0.6816, 0.7500, 0.1250], [0.7500, 0.1816, 0.3750], [0.7500, 0.3184, 0.8750], [0.8184, 0.7500, 0.6250], [0.0000, 0.0000, 0.5000], [0.0000, 0.5000, 0.7500], [0.5000, 0.0000, 0.2500], [0.5000, 0.5000, 0.0000]],
  "dos_ef_per_ev_cell": 12.004,
  "spacegroup": "I-42d, No. 122"
}

=====

Model b:
{
  "formula": "TlBi2Ir",
  "functional": "PBE-GGA",
  "state": "relaxed",
  "lattice": [[7.3146, 0.0000, 0.0000], [0.0000, 7.3146, 0.0000], [0.0000, 0.0000, 7.3146]],
  "species": ["Tl", "Tl", "Tl", "Tl", "Bi", "Bi", "Bi", "Bi", "Bi", "Bi", "Bi", "Bi", "Ir", "Ir", "Ir", "Ir"],
  "fractional_positions": [[0.0000, 0.0000, 0.0000], [0.0000, 0.5000, 0.5000], [0.5000, 0.0000, 0.5000], [0.5000, 0.5000, 0.0000], [0.2500, 0.2500, 0.2500], [0.2500, 0.2500, 0.7500], [0.2500, 0.7500, 0.2500], [0.2500, 0.7500, 0.7500], [0.7500, 0.2500, 0.2500], [0.7500, 0.2500, 0.7500], [0.7500, 0.7500, 0.2500], [0.7500, 0.7500, 0.7500], [0.0000, 0.0000, 0.5000], [0.0000, 0.5000, 0.0000], [0.5000, 0.0000, 0.0000], [0.5000, 0.5000, 0.5000]],
  "dos_ef_per_ev_cell": 1.211,
  "spacegroup": "Fm-3m, No. 225"
}

=====

If we sort the structures by their calculated energies, the order from most to least stable is model a, model b.

=====

Model a:
{
  "formula": "Tl2BiIr",
  "functional": "PBE-GGA",
  "state": "relaxed",
  "lattice": [[7.2653, 0.0000, 0.0000], [0.0000, 7.2653, 0.0000], [0.0000, 0.0000, 7.2653]],
  "species": ["Tl", "Tl", "Tl", "Tl", "Tl", "Tl", "Tl", "Tl", "Bi", "Bi", "Bi", "Bi", "Ir", "Ir", "Ir", "Ir"],
  "fractional_positions": [[0.2500, 0.2500, 0.2500], [0.2500, 0.2500, 0.7500], [0.2500, 0.7500, 0.2500], [0.2500, 0.7500, 0.7500], [0.7500, 0.2500, 0.2500], [0.7500, 0.2500, 0.7500], [0.7500, 0.7500, 0.2500], [0.7500, 0.7500, 0.7500], [0.0000, 0.0000, 0.0000], [0.0000, 0.5000, 0.5000], [0.5000, 0.0000, 0.5000], [0.5000, 0.5000, 0.0000], [0.0000, 0.0000, 0.5000], [0.0000, 0.5000, 0.0000], [0.5000, 0.0000, 0.0000], [0.5000, 0.5000, 0.5000]],
  "dos_ef_per_ev_cell": 6.685,
  "spacegroup": "Fm-3m, No. 225"
}

=====

Model b:
{
  "formula": "Tl2BiIr",
  "functional": "PBE-GGA",
  "state": "relaxed",
  "lattice": [[6.4672, 0.0000, 0.0000], [0.0000, 6.4672, 0.0000], [0.0000, 0.0000, 13.4876]],
  "species": ["Tl", "Tl", "Tl", "Tl", "Tl", "Tl", "Tl", "Tl", "Bi", "Bi", "Bi", "Bi", "Ir", "Ir", "Ir", "Ir"],
  "fractional_positions": [[0.1946, 0.2500, 0.1250], [0.2500, 0.6946, 0.3750], [0.2500, 0.8054, 0.8750], [0.3054, 0.2500, 0.6250], [0.6946, 0.7500, 0.6250], [0.7500, 0.1946, 0.8750], [0.7500, 0.3054, 0.3750], [0.8054, 0.7500, 0.1250], [0.0000, 0.0000, 0.5000], [0.0000, 0.5000, 0.7500], [0.5000, 0.0000, 0.2500], [0.5000, 0.5000, 0.0000], [0.0000, 0.0000, 0.0000], [0.0000, 0.5000, 0.2500], [0.5000, 0.0000, 0.7500], [0.5000, 0.5000, 0.5000]],
  "dos_ef_per_ev_cell": 4.079,
  "spacegroup": "I-42d, No. 122"
}

=====

If we sort the structures by their calculated energies, the order from most to least stable is model a, model b.